No. 1
Entry from Alexandria via LeMat-Bulk: a geometry-optimized Ce2TeP structure (PBE-GGA).

Cell and atoms, written as POSCAR:
```
Ce2TeP
1.0
-2.800 3.031 -0.525
-3.249 -0.586 -2.531
-6.018 -1.883 4.743
Ce P Te
2 1 1
direct
0.070 0.070 0.790
0.263 0.263 0.211
0.668 0.668 0.996
0.499 0.499 0.504
```

Final energy ... -6.51 eV/atom
Energy relative to the elements, uncorrected ... -544 kJ/mol of formula units
Relative energy among the computed polymorphs ... 56.1 meV per atom

***

No. 2
Entry from Alexandria via LeMat-Bulk: a geometry-optimized PmNd9Sn2 structure (PBE-GGA).

Cell and atoms, written as POSCAR:
```
PmNd9Sn2
1.0
-0.807 -1.205 4.776
4.655 -1.769 0.340
4.975 13.926 4.355
Nd Pm Sn
9 1 2
direct
0.500 0.500 0.660
0.000 0.500 0.823
0.500 0.000 0.823
0.500 0.000 0.500
0.000 0.500 0.500
0.500 0.000 0.177
0.500 0.500 0.340
0.000 0.500 0.177
0.500 0.500 0.000
0.000 0.000 0.000
0.000 0.000 0.338
0.000 0.000 0.662
```

Energy of formation ... -0.279 eV per atom
Final energy ... -4.92 eV/atom

***

No. 3
Entry from Alexandria via LeMat-Bulk: a geometry-optimized Tb2Y4Tl3H2 structure (PBE-GGA).

Cell and atoms, written as POSCAR:
```
Tb2Y4Tl3H2
1.0
-2.041 1.637 -3.975
-4.196 -1.716 1.447
0.709 10.665 6.877
H Tb Tl Y
2 2 3 4
direct
0.398 0.398 0.797
0.602 0.602 0.203
0.302 0.302 0.605
0.698 0.698 0.395
0.174 0.174 0.347
0.000 0.000 0.000
0.826 0.826 0.653
0.916 0.416 0.832
0.416 0.916 0.832
0.584 0.084 0.168
0.084 0.584 0.168
```

Final energy ... -4.75 eV/atom